The following is a PBE with a Hubbard U calculation of a relaxed structure of KTmWO6, from Alexandria via LeMat-Bulk.

Unit cell a=5.7713 b=5.7713 c=4.7846 alpha=90.00 beta=90.00 gamma=120.00
Space group P312 (No. 149)
Asymmetric unit:
K 0.0000 0.0000 0.0000 x1
Tm 0.6667 0.3333 0.5000 x1
W 0.3333 0.6667 0.0000 x1
O 0.0266 0.4388 0.2337 x6

Summary:
E   -60.6 eV/cell